Entry from Alexandria: a geometry-optimized K2SrMn structure (PBE).

Structure (POSCAR):
```
K2SrMn
1.0
4.0422 0.0000 0.0000
0.0000 4.0422 0.0000
0.0000 0.0000 11.9147
K Sr Mn
2 1 1
direct
0.0000 0.0000 0.4507
0.0000 0.0000 0.0493
0.5000 0.5000 0.7500
0.5000 0.5000 0.2500
```

* density of states at the Fermi level: 1.19 states/eV per atom
* energy of formation from the pure elements: 665 meV per atom
* space group: P4/mmm, No. 123
* raw total energy: -2.60 eV per atom